Record 1
This record from Alexandria describes an optimized crystal structure of CdAgHgSb. The functional is PBE.

Lattice parameters (Å, degrees): 7.210 7.210 7.210 90.00 90.00 90.00
Space group F-43m (No. 216)
Asymmetric unit:
Cd: 0.000 0.000 0.000 (multiplicity 4)
Ag: 0.000 0.000 0.500 (multiplicity 4)
Hg: 0.250 0.250 0.750 (multiplicity 4)
Sb: 0.250 0.250 0.250 (multiplicity 4)

Computed properties:
VASP energy = -30.78 eV/cell



Record 2
This record from Alexandria describes an optimized crystal structure of ScCdAgHg. The functional is PBE.

Lattice parameters (Å, degrees): 6.877 6.877 6.877 90.00 90.00 90.00
Space group F-43m (No. 216)
Asymmetric unit:
Sc: 0.000 0.000 0.000 (multiplicity 4)
Cd: 0.000 0.000 0.500 (multiplicity 4)
Ag: 0.250 0.250 0.750 (multiplicity 4)
Hg: 0.250 0.250 0.250 (multiplicity 4)

Computed properties:
Formation energy = -0.27 eV per atom